Material: YTi3B
Method: DFT, meta-GGA SCAN
State: PBEsol geometry

Geometry as POSCAR:
```
YTi3B
1.0
4.561 0.000 0.000
0.000 4.561 0.000
0.000 0.000 4.561
Y Ti B
1 3 1
Cartesian
0.000 0.000 0.000 Y
0.000 0.000 2.280 Ti
0.000 2.280 0.000 Ti
2.280 0.000 0.000 Ti
2.280 2.280 2.280 B
```

Results
Formation energy ... 2369 meV/atom
DOS(E_F) ... 1.0800 states/eV per atom

---

Material: Zr3TiB
Method: DFT, meta-GGA SCAN
State: PBEsol geometry

Geometry as POSCAR:
```
Zr3TiB
1.0
4.607 0.000 0.000
0.000 4.607 0.000
0.000 0.000 4.607
Zr Ti B
3 1 1
Cartesian
0.000 0.000 2.303 Zr
0.000 2.303 0.000 Zr
2.303 0.000 0.000 Zr
2.303 2.303 2.303 Ti
0.000 0.000 0.000 B
```

Results
Formation energy ... -22 meV/atom
DOS(E_F) ... 1.1954 states/eV per atom

---

Material: ZrTiB4
Method: DFT, meta-GGA SCAN
State: PBEsol geometry

Geometry as POSCAR:
```
ZrTiB4
1.0
3.089 0.000 0.000
-1.545 2.675 0.000
0.000 0.000 6.704
Zr Ti B
1 1 4
Cartesian
0.000 0.000 0.000 Zr
0.000 0.000 3.352 Ti
0.000 1.784 1.784 B
0.000 1.784 4.920 B
1.545 0.892 1.784 B
1.545 0.892 4.920 B
```

Results
Formation energy ... -1070 meV/atom
DOS(E_F) ... 0.0905 states/eV per atom

---

Material: Tl2ZnB
Method: DFT, meta-GGA SCAN
State: PBEsol geometry

Geometry as POSCAR:
```
Tl2ZnB
1.0
0.000 3.398 3.398
3.398 0.000 3.398
3.398 3.398 0.000
Tl Zn B
2 1 1
Cartesian
1.699 1.699 1.699 Tl
5.098 5.098 5.098 Tl
0.000 0.000 0.000 Zn
3.398 3.398 3.398 B
```

Results
Formation energy ... 1076 meV/atom
DOS(E_F) ... 0.4720 states/eV per atom

---

Material: ZrTlB2
Method: DFT, meta-GGA SCAN
State: PBEsol geometry

Geometry as POSCAR:
```
ZrTlB2
1.0
-3.162 3.162 3.057
3.162 -3.162 3.057
3.162 3.162 -3.057
Zr Tl B
2 2 4
Cartesian
0.000 0.000 0.000 Zr
0.000 3.162 1.529 Zr
3.162 0.000 1.529 Tl
0.000 0.000 3.057 Tl
1.581 1.627 -0.764 B
4.697 1.581 0.764 B
1.581 1.535 2.293 B
-1.535 1.581 3.822 B
```

Results
Formation energy ... 763 meV/atom
DOS(E_F) ... 0.4453 states/eV per atom

---

Material: TmB4
Method: DFT, meta-GGA SCAN
State: PBEsol geometry

Geometry as POSCAR:
```
TmB4
1.0
7.011 0.000 0.000
0.000 7.011 0.000
0.000 0.000 3.954
Tm B
4 16
Cartesian
1.281 2.225 0.000 Tm
2.225 5.730 0.000 Tm
4.786 1.281 0.000 Tm
5.730 4.786 0.000 Tm
0.000 0.000 0.801 B
0.000 0.000 3.153 B
0.271 5.770 1.977 B
0.606 4.112 1.977 B
1.241 0.271 1.977 B
2.265 3.777 1.977 B
2.899 0.606 1.977 B
3.234 2.265 1.977 B
3.505 3.505 0.801 B
3.505 3.505 3.153 B
3.777 4.746 1.977 B
4.112 6.405 1.977 B
4.746 3.234 1.977 B
5.770 6.740 1.977 B
6.405 2.899 1.977 B
6.740 1.241 1.977 B
```

Results
Formation energy ... -646 meV/atom
DOS(E_F) ... 0.0960 states/eV per atom

---

Material: UB2
Method: DFT, meta-GGA SCAN
State: PBEsol geometry

Geometry as POSCAR:
```
UB2
1.0
3.057 0.000 0.000
-1.529 2.647 0.000
0.000 0.000 3.978
U B
1 2
Cartesian
0.000 0.000 0.000 U
0.000 1.765 1.989 B
1.529 0.882 1.989 B
```

Results
Formation energy ... -537 meV/atom
DOS(E_F) ... 0.7384 states/eV per atom

---

Material: UB12
Method: DFT, meta-GGA SCAN
State: PBEsol geometry

Geometry as POSCAR:
```
UB12
1.0
0.000 3.705 3.705
3.705 0.000 3.705
3.705 3.705 0.000
U B
1 12
Cartesian
0.000 0.000 0.000 U
3.705 2.447 2.447 B
4.962 3.705 2.447 B
4.962 2.447 3.705 B
2.447 3.705 2.447 B
3.705 4.962 2.447 B
2.447 2.447 3.705 B
4.962 4.962 3.705 B
3.705 2.447 4.962 B
4.962 3.705 4.962 B
2.447 4.962 3.705 B
2.447 3.705 4.962 B
3.705 4.962 4.962 B
```

Results
Formation energy ... -273 meV/atom
DOS(E_F) ... 0.3701 states/eV per atom

---

Material: UB4W
Method: DFT, meta-GGA SCAN
State: PBEsol geometry

Geometry as POSCAR:
```
UB4W
1.0
5.926 0.000 0.000
0.000 11.503 0.000
0.000 0.000 3.604
U B W
4 16 4
Cartesian
0.760 1.730 0.000 U
2.203 7.482 0.000 U
3.722 4.021 0.000 U
5.166 9.773 0.000 U
0.154 7.977 1.802 B
0.688 6.297 1.802 B
0.779 11.133 1.802 B
1.230 9.330 1.802 B
1.733 3.578 1.802 B
2.184 5.382 1.802 B
2.275 0.545 1.802 B
2.809 2.225 1.802 B
3.117 9.278 1.802 B
3.650 10.958 1.802 B
3.742 6.122 1.802 B
4.192 7.925 1.802 B
4.696 2.174 1.802 B
5.147 0.370 1.802 B
5.238 5.207 1.802 B
5.771 3.526 1.802 B
0.811 4.698 0.000 W
2.151 10.449 0.000 W
3.774 1.054 0.000 W
5.114 6.805 0.000 W
```

Results
Formation energy ... -429 meV/atom
DOS(E_F) ... 0.7607 states/eV per atom

---

Material: V2B3
Method: DFT, meta-GGA SCAN
State: PBEsol geometry

Geometry as POSCAR:
```
V2B3
1.0
1.499 -9.145 0.000
1.499 9.145 0.000
0.000 0.000 2.962
V B
4 6
Cartesian
1.499 7.850 2.221 V
1.499 5.394 0.740 V
1.499 -5.394 2.221 V
1.499 -7.850 0.740 V
1.499 3.094 0.740 B
1.499 2.155 2.221 B
1.499 0.432 2.221 B
1.499 -0.432 0.740 B
1.499 -2.155 0.740 B
1.499 -3.094 2.221 B
```

Results
Formation energy ... -833 meV/atom
DOS(E_F) ... 0.3834 states/eV per atom

---

Material: VB2
Method: DFT, meta-GGA SCAN
State: PBEsol geometry

Geometry as POSCAR:
```
VB2
1.0
2.981 0.000 0.000
-1.490 2.581 0.000
0.000 0.000 2.985
V B
1 2
Cartesian
0.000 0.000 0.000 V
0.000 1.721 1.492 B
1.490 0.860 1.492 B
```

Results
Formation energy ... -765 meV/atom
DOS(E_F) ... 0.3640 states/eV per atom

---

Material: B2W
Method: DFT, meta-GGA SCAN
State: PBEsol geometry

Geometry as POSCAR:
```
B2W
1.0
3.012 0.000 0.000
-1.506 2.608 0.000
0.000 0.000 3.322
B W
2 1
Cartesian
0.000 1.739 0.000 B
1.506 0.869 0.000 B
0.000 0.000 1.661 W
```

Results
Formation energy ... 13 meV/atom
DOS(E_F) ... 0.4427 states/eV per atom